A geometry-optimized Hf5VGa5 structure. Source: Alexandria, functional PBE-GGA.

ΔH_f (0 K)   -146.7 meV per atom
Symmetry   No. 10
DOS at the Fermi energy   7.6 states/eV/cell
Final energy   -6.876 eV/atom

Unit cell a=4.551 b=6.436 c=7.513 alpha=90.00 beta=107.41 gamma=90.00
Sites, in units of the cell vectors:
Hf: 0.000 0.000 0.000
Hf: 0.362 0.236 0.725
Hf: 0.362 0.764 0.725
Hf: 0.638 0.236 0.275
Hf: 0.638 0.764 0.275
V: 0.000 0.500 0.000
Ga: 0.189 0.500 0.378
Ga: 0.192 0.000 0.383
Ga: 0.500 0.500 0.000
Ga: 0.808 0.000 0.617
Ga: 0.811 0.500 0.622

=====

A geometry-optimized HfV2Ga2 structure. Source: Alexandria, functional PBE-GGA.

Distance to the lowest polymorph of the same formula   100 meV per atom
ΔH_f (0 K)   -116.8 meV per atom
Symmetry   No. 127
DOS at the Fermi energy   5.2 states/eV/cell
Final energy   -6.966 eV/atom

Unit cell a=7.587 b=7.587 c=2.754 alpha=90.00 beta=90.00 gamma=90.00
Sites, in units of the cell vectors:
Hf: 0.000 0.000 0.000
Hf: 0.500 0.500 0.000
V: 0.111 0.389 0.000
V: 0.389 0.889 0.000
V: 0.611 0.111 0.000
V: 0.889 0.611 0.000
Ga: 0.182 0.682 0.500
Ga: 0.318 0.182 0.500
Ga: 0.682 0.818 0.500
Ga: 0.818 0.318 0.500